No. 1
## PaCu4Os (GGA-PBE)

Data for an optimized crystal structure of PaCu4Os.

Output
**Total magnetic moment**: 0.00 μB per formula unit
**Formation enthalpy at 0 K**: -0.02 eV/atom
**DOS at the Fermi energy**: 0.70 states/eV/atom

Structure (POSCAR):
```
PaCu4Os
1.0
-2.7933 -0.1429 4.1112
-3.6212 -3.3804 0.4292
0.4853 -3.7699 3.2057
Pa Os Cu
1 1 4
Cartesian
0.0000 0.0000 0.0000
-1.4823 -1.8233 1.9365
-3.9403 -2.6813 3.2436
-1.9039 -2.8744 4.6205
-3.6997 -4.5508 4.8334
-2.3145 -4.4800 2.7946
```

---

No. 2
## Tm5TlBi4 (GGA-PBE)

Data for an optimized crystal structure of Tm5TlBi4.

Output
**Total magnetic moment**: 0.00 μB per formula unit
**Formation enthalpy at 0 K**: -0.60 eV/atom
**DOS at the Fermi energy**: 0.66 states/eV/atom

Structure (POSCAR):
```
Tm5TlBi4
1.0
-5.0590 3.6445 -0.3172
-5.5110 -2.7015 -4.5812
-5.3411 -1.6101 5.2476
Tm Tl Bi
5 1 4
Cartesian
-11.0464 0.8988 2.0783
-9.1342 -2.0299 -0.6314
-6.7863 1.3695 0.9800
-4.8740 -1.5592 -1.7297
-2.5369 1.8276 -0.1591
-0.0074 0.0053 -0.0005
-8.4981 -0.8975 2.2338
-11.6632 -0.2042 -0.7580
-4.2573 -0.4562 1.1066
-7.4224 0.2371 -1.8852
```